SrSnWO6 PBE with a Hubbard U relaxed; DOS at the Fermi energy = 0.00 states/eV/atom; VASP energy = -124.45 eV/cell
1.0
5.4190 0.0000 0.0000
-2.7095 4.6930 0.0000
0.0000 0.0000 10.7134
Sr Sn W O
2 2 2 12
Cartesian
0.0000 0.0000 0.0000
0.0000 0.0000 5.3567
0.0000 3.1287 2.6783
2.7095 1.5643 8.0350
2.7095 1.5643 2.6783
0.0000 3.1287 8.0350
1.7543 2.8706 1.5670
4.3184 1.7385 1.5670
-0.6536 4.6091 6.9237
-1.6089 2.9545 9.1464
1.1007 1.7385 3.7897
3.6648 2.8706 3.7897
0.6536 4.6091 9.1464
3.3631 0.0840 3.7897
-0.9552 1.8225 6.9237
2.0559 0.0840 1.5670
1.6089 2.9545 6.9237
0.9552 1.8225 9.1464